# Tb3Pu2Fe4, optimized geometry, DFT GGA-PBE
data_Tb3Pu2Fe4
_chemical_formula_sum 'Tb6 Pu4 Fe8'
_symmetry_space_group_name_H-M 'C 1 2/m 1'
_symmetry_Int_Tables_number 12
_cell_length_a 10.824
_cell_length_b 4.020
_cell_length_c 8.474
_cell_angle_alpha 90.00
_cell_angle_beta 103.23
_cell_angle_gamma 90.00
loop_
_symmetry_equiv_pos_as_xyz
'x,y,z'
'-x,-y,-z'
'-x,y,-z'
'x,-y,z'
'x+1/2,y+1/2,z'
'-x+1/2,-y+1/2,-z'
'-x+1/2,y+1/2,-z'
'x+1/2,-y+1/2,z'
loop_
_atom_site_label
_atom_site_type_symbol
_atom_site_fract_x
_atom_site_fract_y
_atom_site_fract_z
_atom_site_occupancy
Tb1 Tb 0.000 0.000 0.000 1
Tb2 Tb 0.124 0.500 0.382 1
Pu1 Pu 0.173 0.500 0.781 1
Fe1 Fe 0.085 0.000 0.633 1
Fe2 Fe 0.231 0.500 0.090 1
# Energy of formation, eV/f.u.: -1.03
# Final energy, eV for the cell shown: -154.9
# Density, kg/m³: 10995

---

# Tb4PuFe5, optimized geometry, DFT GGA-PBE
data_Tb4PuFe5
_chemical_formula_sum 'Tb8 Pu2 Fe10'
_symmetry_space_group_name_H-M 'I 4 m m'
_symmetry_Int_Tables_number 107
_symmetry_space_group_name_Hall 'I 4 -2'
_cell_length_a 9.051
_cell_length_b 9.051
_cell_length_c 4.908
_cell_angle_alpha 90.00
_cell_angle_beta 90.00
_cell_angle_gamma 90.00
loop_
_atom_site_label
_atom_site_type_symbol
_atom_site_fract_x
_atom_site_fract_y
_atom_site_fract_z
_atom_site_occupancy
Tb1 Tb 0.000 0.302 0.000 1
Pu1 Pu 0.000 0.000 0.274 1
Fe1 Fe 0.000 0.000 0.816 1
Fe2 Fe 0.163 0.163 0.524 1
# Energy of formation, eV/f.u.: 1.35
# Final energy, eV for the cell shown: -147.6
# Density, kg/m³: 9573

---

# TbPu2Fe9, optimized geometry, DFT GGA-PBE
data_TbPu2Fe9
_chemical_formula_sum 'Tb3 Pu6 Fe27'
_symmetry_space_group_name_H-M 'R -3 m'
_symmetry_Int_Tables_number 166
_symmetry_space_group_name_Hall '-R 3 2"'
_cell_length_a 4.9622
_cell_length_b 4.9622
_cell_length_c 24.8223
_cell_angle_alpha 90.00
_cell_angle_beta 90.00
_cell_angle_gamma 120.00
loop_
_atom_site_label
_atom_site_type_symbol
_atom_site_fract_x
_atom_site_fract_y
_atom_site_fract_z
_atom_site_occupancy
Tb1 Tb 0.0000 0.0000 0.0000 1
Pu1 Pu 0.0000 0.0000 0.1469 1
Fe1 Fe 0.0000 0.0000 0.3338 1
Fe2 Fe 0.0000 0.0000 0.5000 1
Fe3 Fe 0.0011 0.5005 0.9190 1
# Energy of formation, eV/f.u.: 1.08
# Final energy, eV for the cell shown: -325.1
# Density, kg/m³: 10819

---

# TbPuFe10, optimized geometry, DFT GGA-PBE
data_TbPuFe10
_chemical_formula_sum 'Tb1 Pu1 Fe10'
_symmetry_space_group_name_H-M 'P m m m'
_symmetry_Int_Tables_number 47
_cell_length_a 3.952
_cell_length_b 4.977
_cell_length_c 8.627
_cell_angle_alpha 90.00
_cell_angle_beta 90.00
_cell_angle_gamma 90.00
loop_
_symmetry_equiv_pos_as_xyz
'x,y,z'
'-x,-y,-z'
'-x,-y,z'
'x,y,-z'
'x,-y,-z'
'-x,y,z'
'-x,y,-z'
'x,-y,z'
loop_
_atom_site_label
_atom_site_type_symbol
_atom_site_fract_x
_atom_site_fract_y
_atom_site_fract_z
_atom_site_occupancy
Tb1 Tb 0.000 0.000 0.000 1
Pu1 Pu 0.000 0.500 0.500 1
Fe1 Fe 0.000 0.000 0.335 1
Fe2 Fe 0.000 0.500 0.168 1
Fe3 Fe 0.500 0.000 0.500 1
Fe4 Fe 0.500 0.250 0.250 1
Fe5 Fe 0.500 0.500 0.000 1
# Energy of formation, eV/f.u.: 1.06
# Final energy, eV for the cell shown: -102.5
# Density, kg/m³: 9409

---

# Tb3PuFe, optimized geometry, DFT GGA-PBE
data_Tb3PuFe
_chemical_formula_sum 'Tb3 Pu1 Fe1'
_symmetry_space_group_name_H-M 'P m -3 m'
_symmetry_Int_Tables_number 221
_symmetry_space_group_name_Hall '-P 4 2 3'
_cell_length_a 5.264
_cell_length_b 5.264
_cell_length_c 5.264
_cell_angle_alpha 90.00
_cell_angle_beta 90.00
_cell_angle_gamma 90.00
loop_
_atom_site_label
_atom_site_type_symbol
_atom_site_fract_x
_atom_site_fract_y
_atom_site_fract_z
_atom_site_occupancy
Tb1 Tb 0.000 0.000 0.500 1
Pu1 Pu 0.500 0.500 0.500 1
Fe1 Fe 0.000 0.000 0.000 1
# Energy of formation, eV/f.u.: 1.17
# Final energy, eV for the cell shown: -35.5
# Density, kg/m³: 8840

---

# TbPu2Fe2, optimized geometry, DFT GGA-PBE
data_TbPu2Fe2
_chemical_formula_sum 'Tb4 Pu8 Fe8'
_symmetry_space_group_name_H-M 'C m c m'
_symmetry_Int_Tables_number 63
_symmetry_space_group_name_Hall '-C 2c 2'
_cell_length_a 5.165
_cell_length_b 8.678
_cell_length_c 9.407
_cell_angle_alpha 90.00
_cell_angle_beta 90.00
_cell_angle_gamma 90.00
loop_
_atom_site_label
_atom_site_type_symbol
_atom_site_fract_x
_atom_site_fract_y
_atom_site_fract_z
_atom_site_occupancy
Tb1 Tb 0.000 0.000 0.250 1
Pu1 Pu 0.000 0.329 0.000 1
Fe1 Fe 0.000 0.340 0.250 1
Fe2 Fe 0.000 0.341 0.750 1
# Energy of formation, eV/f.u.: 0.98
# Final energy, eV for the cell shown: -197.0
# Density, kg/m³: 11950

---

# Tb2PuFe, optimized geometry, DFT GGA-PBE
data_Tb2PuFe
_chemical_formula_sum 'Tb2 Pu1 Fe1'
_symmetry_space_group_name_H-M 'P 4/m m m'
_symmetry_Int_Tables_number 123
_symmetry_space_group_name_Hall '-P 4 2'
_cell_length_a 3.401
_cell_length_b 3.401
_cell_length_c 8.618
_cell_angle_alpha 90.00
_cell_angle_beta 90.00
_cell_angle_gamma 90.00
loop_
_atom_site_label
_atom_site_type_symbol
_atom_site_fract_x
_atom_site_fract_y
_atom_site_fract_z
_atom_site_occupancy
Tb1 Tb 0.000 0.000 0.191 1
Pu1 Pu 0.500 0.500 0.500 1
Fe1 Fe 0.500 0.500 0.000 1
# Energy of formation, eV/f.u.: 0.59
# Final energy, eV for the cell shown: -31.5
# Offset from the most stable computed form, eV per atom: 0.000
# Density, kg/m³: 10290

---

# PuFeTc2, optimized geometry, DFT GGA-PBE
data_PuFeTc2
_chemical_formula_sum 'Pu4 Fe4 Tc8'
_symmetry_space_group_name_H-M 'F m -3 m'
_symmetry_Int_Tables_number 225
_symmetry_space_group_name_Hall '-F 4 2 3'
_cell_length_a 6.338
_cell_length_b 6.338
_cell_length_c 6.338
_cell_angle_alpha 90.00
_cell_angle_beta 90.00
_cell_angle_gamma 90.00
loop_
_atom_site_label
_atom_site_type_symbol
_atom_site_fract_x
_atom_site_fract_y
_atom_site_fract_z
_atom_site_occupancy
Pu1 Pu 0.000 0.000 0.000 1
Fe1 Fe 0.000 0.000 0.500 1
Tc1 Tc 0.250 0.250 0.250 1
# Energy of formation, eV/f.u.: 0.61
# Final energy, eV for the cell shown: -171.7
# Offset from the most stable computed form, eV per atom: 0.000
# Density, kg/m³: 12938

---

# PuFeTc2, optimized geometry, DFT GGA-PBE
data_PuFeTc2
_chemical_formula_sum 'Pu3 Fe3 Tc6'
_symmetry_space_group_name_H-M 'R -3 m'
_symmetry_Int_Tables_number 166
_symmetry_space_group_name_Hall '-R 3 2"'
_cell_length_a 2.8165
_cell_length_b 2.8165
_cell_length_c 28.0728
_cell_angle_alpha 90.00
_cell_angle_beta 90.00
_cell_angle_gamma 120.00
loop_
_atom_site_label
_atom_site_type_symbol
_atom_site_fract_x
_atom_site_fract_y
_atom_site_fract_z
_atom_site_occupancy
Pu1 Pu 0.0000 0.0000 0.0000 1
Fe1 Fe 0.0000 0.0000 0.5000 1
Tc1 Tc 0.0000 0.0000 0.0947 1
# Energy of formation, eV/f.u.: 1.94
# Final energy, eV for the cell shown: -124.8
# Offset from the most stable computed form, eV per atom: 0.333
# Density, kg/m³: 12808

---

# Pu2FeTc3, optimized geometry, DFT GGA-PBE
data_Pu2FeTc3
_chemical_formula_sum 'Pu4 Fe2 Tc6'
_symmetry_space_group_name_H-M 'C 1 2/m 1'
_symmetry_Int_Tables_number 12
_cell_length_a 9.592
_cell_length_b 4.921
_cell_length_c 5.397
_cell_angle_alpha 90.00
_cell_angle_beta 123.88
_cell_angle_gamma 90.00
loop_
_symmetry_equiv_pos_as_xyz
'x,y,z'
'-x,-y,-z'
'-x,y,-z'
'x,-y,z'
'x+1/2,y+1/2,z'
'-x+1/2,-y+1/2,-z'
'-x+1/2,y+1/2,-z'
'x+1/2,-y+1/2,z'
loop_
_atom_site_label
_atom_site_type_symbol
_atom_site_fract_x
_atom_site_fract_y
_atom_site_fract_z
_atom_site_occupancy
Pu1 Pu 0.127 0.000 0.378 1
Fe1 Fe 0.000 0.500 0.000 1
Tc1 Tc 0.000 0.500 0.500 1
Tc2 Tc 0.250 0.250 0.000 1
# Energy of formation, eV/f.u.: 0.13
# Final energy, eV for the cell shown: -136.2
# Density, kg/m³: 13158